This record from Alexandria describes a relaxed Pm2YEr8 crystal. The functional is PBE.

- DOS(E_F): 17.1 states/eV per cell
- Spin magnetization: 0.0 μB/f.u.
- Excess energy over the best structure of this formula in the dataset: 16 meV/atom

abc: 6.586 6.615 8.873
angles: 99.26 111.78 90.00
Sites, in units of the cell vectors:
Er (0.412, 0.096, 0.823)
Er (0.588, 0.904, 0.177)
Er (0.348, 0.403, 0.174)
Er (0.201, 0.802, 0.402)
Er (0.826, 0.403, 0.174)
Y (0.000, 0.000, 0.000)
Pm (0.245, 0.311, 0.489)
Er (0.799, 0.198, 0.598)
Pm (0.755, 0.689, 0.511)
Er (0.174, 0.597, 0.826)
Er (0.652, 0.597, 0.826)


This record from Alexandria describes a relaxed PmY3Er7 crystal. The functional is PBE.

- DOS(E_F): 19.0 states/eV per cell
- Spin magnetization: 0.0 μB/f.u.
- Excess energy over the best structure of this formula in the dataset: 0 meV/atom

abc: 5.511 9.880 8.868
angles: 105.73 128.42 90.00
Sites, in units of the cell vectors:
Er (0.147, 0.292, 0.647)
Er (0.323, 0.643, 0.823)
Pm (0.500, 0.500, 0.500)
Y (0.278, 0.998, 0.778)
Er (0.853, 0.708, 0.353)
Y (0.000, 0.500, 0.000)
Er (0.500, 0.000, 0.500)
Er (0.920, 0.831, 0.920)
Er (0.677, 0.357, 0.177)
Er (0.080, 0.169, 0.080)
Y (0.722, 0.002, 0.222)


This record from Alexandria describes a relaxed Pm2Y6Er3 crystal. The functional is PBE.

- DOS(E_F): 17.1 states/eV per cell
- Spin magnetization: 0.0 μB/f.u.
- Excess energy over the best structure of this formula in the dataset: 98 meV/atom

abc: 4.730 4.730 17.035
angles: 97.98 97.98 90.00
Sites, in units of the cell vectors:
Y (0.378, 0.878, 0.757)
Er (0.801, 0.801, 0.602)
Y (0.699, 0.699, 0.397)
Er (0.000, 0.000, 0.000)
Y (0.122, 0.622, 0.243)
Er (0.199, 0.199, 0.398)
Pm (0.545, 0.545, 0.091)
Y (0.301, 0.301, 0.603)
Y (0.622, 0.122, 0.243)
Pm (0.455, 0.455, 0.909)
Y (0.878, 0.378, 0.757)


This record from Alexandria describes a relaxed Pm3Y4Er2 crystal. The functional is PBE.

- DOS(E_F): 12.8 states/eV per cell
- Spin magnetization: 0.0 μB/f.u.
- Excess energy over the best structure of this formula in the dataset: 0 meV/atom

abc: 5.072 8.013 14.788
angles: 144.47 90.00 108.45
Sites, in units of the cell vectors:
Y (0.334, 0.668, 0.000)
Er (0.778, 0.557, 0.334)
Pm (0.445, 0.890, 0.335)
Er (0.222, 0.443, 0.666)
Pm (0.000, 0.000, 0.000)
Y (0.112, 0.224, 0.334)
Pm (0.555, 0.110, 0.665)
Y (0.888, 0.776, 0.666)
Y (0.666, 0.332, 0.000)


This record from Alexandria describes a relaxed Pm9Y2Er3 crystal. The functional is PBE.

- VASP energy: -4.71 eV per atom
- DOS(E_F): 35.8 states/eV per cell
- Spin magnetization: 0.0 μB/f.u.

abc: 9.034 9.034 13.954
angles: 90.00 90.00 120.00
Sites, in units of the cell vectors:
Er (0.250, 0.172, 0.750)
Pm (0.275, 0.407, 0.542)
Pm (0.593, 0.868, 0.958)
Y (0.333, 0.667, 0.358)
Er (0.750, 0.828, 0.250)
Pm (0.918, 0.518, 0.250)
Pm (0.868, 0.275, 0.042)
Er (0.922, 0.750, 0.750)
Pm (0.082, 0.482, 0.750)
Pm (0.132, 0.725, 0.542)
Pm (0.400, 0.918, 0.750)
Pm (0.132, 0.725, 0.958)
Pm (0.407, 0.132, 0.042)
Pm (0.600, 0.082, 0.250)
Pm (0.593, 0.868, 0.542)
Pm (0.868, 0.275, 0.458)
Pm (0.518, 0.600, 0.750)
Y (0.333, 0.667, 0.142)
Er (0.172, 0.922, 0.250)
Pm (0.275, 0.407, 0.958)
Pm (0.407, 0.132, 0.458)
Y (0.667, 0.333, 0.858)
Pm (0.725, 0.593, 0.458)
Pm (0.482, 0.400, 0.250)
Pm (0.725, 0.593, 0.042)
Er (0.828, 0.078, 0.750)
Er (0.078, 0.250, 0.250)
Y (0.667, 0.333, 0.642)


This record from Alexandria describes a relaxed PmY2Er7 crystal. The functional is PBE.

- DOS(E_F): 15.2 states/eV per cell
- Spin magnetization: 0.0 μB/f.u.
- Excess energy over the best structure of this formula in the dataset: 695 meV/atom

abc: 5.210 9.619 9.619
angles: 126.96 90.00 90.00
Sites, in units of the cell vectors:
Er (0.500, 0.930, 0.713)
Er (0.500, 0.713, 0.930)
Er (0.000, 0.196, 0.804)
Er (0.500, 0.500, 0.500)
Pm (0.000, 0.000, 0.000)
Y (0.500, 0.297, 0.703)
Er (0.500, 0.070, 0.287)
Er (0.500, 0.287, 0.070)
Y (0.500, 0.703, 0.297)
Er (0.000, 0.804, 0.196)


This record from Alexandria describes a relaxed Pm3YEr crystal. The functional is PBE.

- VASP energy: -5.02 eV per atom
- DOS(E_F): 14.9 states/eV per cell
- Spin magnetization: 0.0 μB/f.u.

abc: 5.516 7.132 8.903
angles: 89.98 71.95 90.00
Sites, in units of the cell vectors:
Er (0.814, 0.956, 0.091)
Pm (0.013, 0.455, 0.693)
Y (0.403, 0.707, 0.912)
Pm (0.622, 0.704, 0.475)
Y (0.622, 0.206, 0.474)
Er (0.212, 0.456, 0.295)
Pm (0.404, 0.205, 0.911)
Pm (0.013, 0.954, 0.692)
Pm (0.213, 0.956, 0.293)
Pm (0.813, 0.457, 0.092)


This record from Alexandria describes a relaxed Pm2YEr8 crystal. The functional is PBE.

- DOS(E_F): 15.0 states/eV per cell
- Spin magnetization: 0.0 μB/f.u.
- Excess energy over the best structure of this formula in the dataset: 0 meV/atom

abc: 5.866 9.035 9.203
angles: 60.60 74.17 56.24
Sites, in units of the cell vectors:
Er (0.823, 0.098, 0.234)
Er (0.177, 0.902, 0.766)
Er (0.705, 0.567, 0.000)
Pm (0.000, 0.693, 0.615)
Er (0.500, 0.793, 0.414)
Er (0.823, 0.332, 0.766)
Er (0.500, 0.207, 0.586)
Y (0.500, 0.000, 0.000)
Er (0.295, 0.433, 0.000)
Pm (0.000, 0.307, 0.385)
Er (0.177, 0.668, 0.234)


This record from Alexandria describes a relaxed Pm6Y8Er crystal. The functional is PBE.

- DOS(E_F): 23.7 states/eV per cell
- Spin magnetization: 0.0 μB/f.u.
- Excess energy over the best structure of this formula in the dataset: 64 meV/atom

abc: 6.618 9.499 9.499
angles: 120.00 90.00 90.00
Sites, in units of the cell vectors:
Y (0.109, 0.306, 0.325)
Pm (0.400, 0.081, 0.405)
Er (0.500, 0.000, 0.000)
Y (0.157, 0.667, 0.333)
Pm (0.400, 0.595, 0.676)
Y (0.891, 0.694, 0.675)
Pm (0.600, 0.676, 0.081)
Y (0.843, 0.333, 0.667)
Y (0.891, 0.325, 0.019)
Y (0.109, 0.675, 0.981)
Pm (0.600, 0.405, 0.324)
Y (0.109, 0.019, 0.694)
Pm (0.400, 0.324, 0.919)
Y (0.891, 0.981, 0.306)
Pm (0.600, 0.919, 0.595)


This record from Alexandria describes a relaxed Pm3Y2Er4 crystal. The functional is PBE.

- DOS(E_F): 27.3 states/eV per cell
- Spin magnetization: 0.0 μB/f.u.
- Excess energy over the best structure of this formula in the dataset: 0 meV/atom

abc: 6.054 11.242 11.242
angles: 62.31 63.61 63.61
Sites, in units of the cell vectors:
Y (0.074, 0.487, 0.751)
Er (0.413, 0.580, 0.855)
Er (0.921, 0.182, 0.916)
Er (0.087, 0.145, 0.420)
Pm (0.754, 0.064, 0.269)
Er (0.587, 0.420, 0.145)
Er (0.913, 0.855, 0.580)
Er (0.421, 0.916, 0.182)
Pm (0.750, 0.393, 0.607)
Pm (0.254, 0.269, 0.064)
Er (0.579, 0.084, 0.818)
Pm (0.246, 0.936, 0.731)
Pm (0.250, 0.607, 0.393)
Y (0.926, 0.513, 0.249)
Er (0.079, 0.818, 0.084)
Y (0.426, 0.249, 0.513)
Pm (0.746, 0.731, 0.936)
Y (0.574, 0.751, 0.487)


This record from Alexandria describes a relaxed Pm12Y5Er2 crystal. The functional is PBE.

- DOS(E_F): 27.2 states/eV per cell
- Spin magnetization: 0.0 μB/f.u.
- Excess energy over the best structure of this formula in the dataset: 40 meV/atom

abc: 7.112 8.751 11.718
angles: 109.26 107.66 90.00
Sites, in units of the cell vectors:
Pm (0.454, 0.794, 0.401)
Y (0.650, 0.097, 0.300)
Y (0.751, 0.509, 0.502)
Pm (0.053, 0.206, 0.599)
Er (0.257, 0.000, 0.000)
Pm (0.548, 0.694, 0.096)
Er (0.743, 0.000, 0.000)
Pm (0.452, 0.306, 0.904)
Pm (0.947, 0.794, 0.401)
Pm (0.849, 0.385, 0.211)
Pm (0.546, 0.206, 0.599)
Pm (0.143, 0.063, 0.287)
Y (0.249, 0.491, 0.498)
Pm (0.151, 0.615, 0.789)
Pm (0.363, 0.385, 0.211)
Pm (0.637, 0.615, 0.789)
Pm (0.857, 0.937, 0.713)
Y (0.350, 0.903, 0.700)
Y (0.000, 0.500, 0.000)


This record from Alexandria describes a relaxed Pm7Y12Er crystal. The functional is PBE.

- DOS(E_F): 38.2 states/eV per cell
- Spin magnetization: 0.0 μB/f.u.
- Excess energy over the best structure of this formula in the dataset: 0 meV/atom

abc: 8.831 8.831 8.831
angles: 85.90 85.90 85.90
Sites, in units of the cell vectors:
Pm (0.500, 0.500, 0.500)
Er (0.000, 0.000, 0.000)
Y (0.252, 0.729, 0.855)
Pm (0.398, 0.077, 0.153)
Pm (0.077, 0.153, 0.398)
Pm (0.847, 0.602, 0.923)
Pm (0.602, 0.923, 0.847)
Y (0.502, 0.384, 0.864)
Pm (0.923, 0.847, 0.602)
Y (0.498, 0.616, 0.136)
Y (0.136, 0.498, 0.616)
Pm (0.153, 0.398, 0.077)
Y (0.855, 0.252, 0.729)
Y (0.864, 0.502, 0.384)
Y (0.145, 0.748, 0.271)
Y (0.748, 0.271, 0.145)
Y (0.616, 0.136, 0.498)
Y (0.271, 0.145, 0.748)
Y (0.729, 0.855, 0.252)
Y (0.384, 0.864, 0.502)